Entry 1:
Entry from Alexandria: an optimized crystal structure of CuOsAu2 (PBEsol).

Cell lengths 2.6848, 4.7619, 4.7479 Å; angles 90.00, 90.00, 90.00 degrees
With the nearest neighbours (Å) after each atom.
Element x y z (fractional)
Au  0.0000  0.0000  0.0000  6 Au 2.68-2.73, 4 Cu 2.73
Au  0.5000  0.0000  0.5000  6 Au 2.68-2.73, 4 Os 2.73
Cu  0.5000  0.5000  0.0000  2 Cu 2.68, 4 Os 2.73, 4 Au 2.73
Os  0.0000  0.5000  0.5000  2 Os 2.68, 4 Cu 2.73, 4 Au 2.73

Output
* D(E_F): 2.16 states/eV/f.u.
* excess energy over the best structure of this formula in the dataset: 0.110 eV/atom
* symmetry: No. 47
* volume: 61 Å³/cell

***

Entry 2:
Entry from Alexandria: an optimized crystal structure of CuP2Au (PBEsol).

Cell lengths 3.2349, 5.1921, 4.7900 Å; angles 113.65, 90.00, 108.15 degrees
With the nearest neighbours (Å) after each atom.
Element x y z (fractional)
P  0.7538  0.5076  0.8493  2 P 2.19, 1 Cu 2.22, 1 Au 2.35
P  0.2462  0.4924  0.1507  2 P 2.19, 1 Cu 2.22, 1 Au 2.35
Au  0.5000  0.0000  0.5000  2 P 2.35
Cu  0.0000  0.0000  0.0000  2 P 2.22

Output
* D(E_F): 0.49 states/eV/f.u.
* excess energy over the best structure of this formula in the dataset: 0.000 eV/atom
* symmetry: No. 12
* volume: 69 Å³/cell

***

Entry 3:
Entry from Alexandria: an optimized crystal structure of CuP2Au (PBEsol).

Cell lengths 4.3762, 4.3762, 4.3762 Å; angles 60.00, 60.00, 60.00 degrees
With the nearest neighbours (Å) after each atom.
Element x y z (fractional)
Au  0.0000  0.0000  0.0000  8 P 2.68
Cu  0.5000  0.5000  0.5000  8 P 2.68
P  0.2500  0.2500  0.2500  4 Au 2.68, 4 Cu 2.68
P  0.7500  0.7500  0.7500  4 Cu 2.68, 4 Au 2.68

Output
* D(E_F): 2.05 states/eV/f.u.
* excess energy over the best structure of this formula in the dataset: 0.448 eV/atom
* symmetry: No. 225
* volume: 59 Å³/cell

***

Entry 4:
Entry from Alexandria: an optimized crystal structure of CuPAu2 (PBEsol).

Cell lengths 3.0084, 4.5096, 4.8704 Å; angles 100.24, 90.00, 109.48 degrees
With the nearest neighbours (Å) after each atom.
Element x y z (fractional)
Au  0.7506  0.5013  0.7478  3 Cu 2.63-2.70, 3 P 2.65-2.70, 4 Au 2.84-2.88
Au  0.2494  0.4987  0.2522  3 Cu 2.63-2.70, 3 P 2.65-2.70, 4 Au 2.84-2.88
Cu  0.0000  0.0000  0.5000  6 Au 2.63-2.70, 4 P 2.86
P  0.5000  0.0000  0.0000  6 Au 2.65-2.70, 4 Cu 2.86

Output
* D(E_F): 1.39 states/eV/f.u.
* VASP energy: -17.17 eV for the cell shown
* symmetry: No. 12
* volume: 61 Å³/cell

***

Entry 5:
Entry from Alexandria: an optimized crystal structure of CuP2Au (PBEsol).

Cell lengths 3.5586, 3.5586, 5.9068 Å; angles 72.47, 72.47, 60.00 degrees
With the nearest neighbours (Å) after each atom.
Element x y z (fractional)
Au  0.5000  0.5000  0.5000  6 P 2.57
Cu  0.0000  0.0000  0.0000  6 P 2.39
P  0.2596  0.2596  0.2213  3 Cu 2.39, 3 Au 2.57
P  0.7404  0.7404  0.7787  3 Cu 2.39, 3 Au 2.57

Output
* D(E_F): 1.94 states/eV/f.u.
* excess energy over the best structure of this formula in the dataset: 0.178 eV/atom
* symmetry: No. 166
* volume: 61 Å³/cell

***

Entry 6:
Entry from Alexandria: an optimized crystal structure of CuPAu2 (PBEsol).

Cell lengths 2.9402, 2.9402, 8.2583 Å; angles 79.75, 79.75, 60.00 degrees
With the nearest neighbours (Å) after each atom.
Element x y z (fractional)
Au  0.9938  0.9938  0.0185  3 P 2.68, 9 Au 2.89-2.94
Au  0.7570  0.7570  0.7289  3 Cu 2.65, 9 Au 2.89-2.94
Cu  0.5075  0.5075  0.4775  3 P 2.36
P  0.2416  0.2416  0.2752  3 Cu 2.36

Output
* D(E_F): 1.20 states/eV/f.u.
* VASP energy: -17.49 eV for the cell shown
* symmetry: No. 160
* volume: 61 Å³/cell

***

Entry 7:
Entry from Alexandria: an optimized crystal structure of CuPAu2 (PBEsol).

Cell lengths 2.7158, 3.4516, 6.7125 Å; angles 90.00, 90.00, 90.00 degrees
With the nearest neighbours (Å) after each atom.
Element x y z (fractional)
Au  0.0000  0.0000  0.7752  2 P 2.53, 4 Cu 2.66, 2 Au 2.72
Au  0.0000  0.0000  0.2248  2 P 2.53, 4 Cu 2.66, 2 Au 2.72
Cu  0.5000  0.5000  0.0000  8 Au 2.66, 2 Cu 2.72
P  0.0000  0.5000  0.5000  4 Au 2.53, 2 P 2.72

Output
* D(E_F): 1.46 states/eV/f.u.
* VASP energy: -17.46 eV for the cell shown
* symmetry: No. 47
* volume: 63 Å³/cell

***

Entry 8:
Entry from Alexandria: an optimized crystal structure of CuPAu2 (PBEsol).

Cell lengths 2.9296, 2.9296, 8.3949 Å; angles 79.95, 79.95, 60.00 degrees
With the nearest neighbours (Å) after each atom.
Element x y z (fractional)
Au  0.2488  0.2488  0.2536  3 Cu 2.64, 3 P 2.68, 6 Au 2.93
Au  0.7512  0.7512  0.7464  3 Cu 2.64, 3 P 2.68, 6 Au 2.93
Cu  0.5000  0.5000  0.5000  6 Au 2.64, 6 Cu 2.93
P  0.0000  0.0000  0.0000  6 Au 2.68, 6 P 2.93

Output
* D(E_F): 1.45 states/eV/f.u.
* VASP energy: -17.16 eV for the cell shown
* symmetry: No. 166
* volume: 61 Å³/cell

***

Entry 9:
Entry from Alexandria: an optimized crystal structure of TaCu2PbAu (PBEsol).

Cell lengths 4.6815, 4.6815, 5.4300 Å; angles 90.00, 90.00, 90.00 degrees
With the nearest neighbours (Å) after each atom.
Element x y z (fractional)
Pb  0.0000  0.0000  0.5000  2 Ta 2.72
Au  0.5000  0.5000  0.5000  4 Pb 3.31, 8 Cu 3.58
Cu  0.0000  0.5000  0.0000  2 Ta 2.34
Cu  0.5000  0.0000  0.0000  2 Ta 2.34
Ta  0.0000  0.0000  0.0000  4 Cu 2.34

Output
* D(E_F): 4.02 states/eV/f.u.
* VASP energy: -21.80 eV for the cell shown
* symmetry: No. 123
* volume: 119 Å³/cell

***

Entry 10:
Entry from Alexandria: an optimized crystal structure of Cu2Pd2Au (PBEsol).

Cell lengths 2.8743, 6.9876, 6.9876 Å; angles 90.00, 90.00, 90.00 degrees
With the nearest neighbours (Å) after each atom.
Element x y z (fractional)
Au  0.0000  0.0000  0.0000  4 Cu 2.76, 2 Au 2.87, 8 Pd 2.97
Au  0.0000  0.5000  0.5000  4 Cu 2.76, 2 Au 2.87, 8 Pd 2.97
Cu  0.0000  0.3740  0.8740  6 Pd 2.48-2.54, 1 Cu 2.49, 2 Au 2.76
Cu  0.0000  0.8740  0.6260  6 Pd 2.48-2.54, 1 Cu 2.49, 2 Au 2.76
Cu  0.0000  0.6260  0.1260  6 Pd 2.48-2.54, 1 Cu 2.49, 2 Au 2.76
Cu  0.0000  0.1260  0.3740  6 Pd 2.48-2.54, 1 Cu 2.49, 2 Au 2.76
Pd  0.5000  0.1698  0.6698  6 Cu 2.48-2.54
Pd  0.5000  0.6698  0.8302  6 Cu 2.48-2.54
Pd  0.5000  0.8302  0.3302  6 Cu 2.48-2.54
Pd  0.5000  0.3302  0.1698  6 Cu 2.48-2.54

Output
* D(E_F): 2.27 states/eV/f.u.
* VASP energy: -49.03 eV for the cell shown
* symmetry: No. 127
* volume: 140 Å³/cell

***

Entry 11:
Entry from Alexandria: an optimized crystal structure of Cu2PdAu (PBEsol).

Cell lengths 4.2406, 4.2406, 4.2406 Å; angles 60.00, 60.00, 60.00 degrees
With the nearest neighbours (Å) after each atom.
Element x y z (fractional)
Au  0.0000  0.0000  0.0000  8 Cu 2.60
Pd  0.5000  0.5000  0.5000  8 Cu 2.60
Cu  0.2500  0.2500  0.2500  4 Pd 2.60, 4 Au 2.60
Cu  0.7500  0.7500  0.7500  4 Au 2.60, 4 Pd 2.60

Output
* D(E_F): 1.36 states/eV/f.u.
* VASP energy: -19.01 eV for the cell shown
* symmetry: No. 225
* volume: 54 Å³/cell

***

Entry 12:
Entry from Alexandria: an optimized crystal structure of CuPt2Au (PBEsol).

Cell lengths 3.8762, 3.8762, 4.7755 Å; angles 113.94, 113.94, 90.00 degrees
With the nearest neighbours (Å) after each atom.
Element x y z (fractional)
Au  0.5000  0.5000  0.0000  4 Cu 2.74, 8 Pt 2.75
Pt  0.7500  0.2500  0.5000  4 Pt 2.74, 4 Cu 2.75, 4 Au 2.75
Pt  0.2500  0.7500  0.5000  4 Pt 2.74, 4 Cu 2.75, 4 Au 2.75
Cu  0.0000  0.0000  0.0000  4 Au 2.74, 8 Pt 2.75

Output
* D(E_F): 4.12 states/eV/f.u.
* excess energy over the best structure of this formula in the dataset: 0.060 eV/atom
* symmetry: No. 139
* volume: 59 Å³/cell

***

Entry 13:
Entry from Alexandria: an optimized crystal structure of CuPt2Au (PBEsol).

Cell lengths 3.9255, 3.9255, 4.7206 Å; angles 114.57, 114.57, 90.00 degrees
With the nearest neighbours (Å) after each atom.
Element x y z (fractional)
Au  0.5000  0.5000  0.0000  4 Cu 2.74, 8 Pt 2.74-2.78
Pt  0.0000  0.0000  0.0000  4 Cu 2.74, 4 Pt 2.74, 4 Au 2.78
Pt  0.7500  0.2500  0.5000  4 Au 2.74, 4 Pt 2.74, 4 Cu 2.78
Cu  0.2500  0.7500  0.5000  8 Pt 2.74-2.78, 4 Au 2.74

Output
* D(E_F): 5.06 states/eV/f.u.
* excess energy over the best structure of this formula in the dataset: 0.067 eV/atom
* symmetry: No. 119
* volume: 59 Å³/cell

***

Entry 14:
Entry from Alexandria: an optimized crystal structure of Cu2PtAu (PBEsol).

Cell lengths 2.8095, 4.4239, 4.8366 Å; angles 107.59, 106.88, 90.00 degrees
With the nearest neighbours (Å) after each atom.
Element x y z (fractional)
Au  0.7407  0.2077  0.4813  7 Cu 2.62-2.66, 2 Au 2.81, 2 Pt 2.84
Pt  0.5103  0.5448  0.0206  7 Cu 2.61-2.67, 2 Pt 2.81, 2 Au 2.84
Cu  0.9887  0.0258  0.9774  4 Cu 2.54-2.81, 4 Pt 2.61-2.64, 3 Au 2.62-2.66
Cu  0.2603  0.7218  0.5207  4 Cu 2.54-2.81, 3 Pt 2.61-2.67, 4 Au 2.62-2.63

Output
* D(E_F): 1.46 states/eV/f.u.
* VASP energy: -19.85 eV for the cell shown
* symmetry: No. 8
* volume: 55 Å³/cell

***

Entry 15:
Entry from Alexandria: an optimized crystal structure of Cu2PtAu (PBEsol).

Cell lengths 2.8506, 2.8506, 6.7086 Å; angles 90.00, 90.00, 90.00 degrees
With the nearest neighbours (Å) after each atom.
Element x y z (fractional)
Au  0.5000  0.5000  0.7701  4 Cu 2.64, 4 Pt 2.84, 4 Au 2.85
Pt  0.0000  0.0000  0.4717  4 Cu 2.57, 4 Au 2.84, 4 Pt 2.85
Cu  0.0000  0.0000  0.0252  4 Cu 2.45, 4 Au 2.64
Cu  0.5000  0.5000  0.2330  4 Cu 2.45, 4 Pt 2.57

Output
* D(E_F): 1.31 states/eV/f.u.
* VASP energy: -19.71 eV for the cell shown
* symmetry: No. 99
* volume: 55 Å³/cell

***

Entry 16:
Entry from Alexandria: an optimized crystal structure of CuPt2Au (PBEsol).

Cell lengths 2.7492, 4.6215, 5.3562 Å; angles 115.56, 104.87, 90.00 degrees
With the nearest neighbours (Å) after each atom.
Element x y z (fractional)
Au  0.5000  0.0000  0.0000  4 Cu 2.69, 2 Au 2.75, 4 Pt 2.79
Pt  0.7375  0.7375  0.4749  2 Cu 2.59, 6 Pt 2.70-2.75, 2 Au 2.79
Pt  0.2625  0.2625  0.5251  2 Cu 2.59, 6 Pt 2.70-2.75, 2 Au 2.79
Cu  0.0000  0.5000  0.0000  4 Pt 2.59, 4 Au 2.69, 2 Cu 2.75

Output
* D(E_F): 2.47 states/eV/f.u.
* excess energy over the best structure of this formula in the dataset: 0.020 eV/atom
* symmetry: No. 71
* volume: 59 Å³/cell

***

Entry 17:
Entry from Alexandria: an optimized crystal structure of CuPt2Au (PBEsol).

Cell lengths 2.7631, 2.7631, 7.6426 Å; angles 90.00, 90.00, 90.00 degrees
With the nearest neighbours (Å) after each atom.
Element x y z (fractional)
Au  0.5000  0.5000  0.0000  4 Au 2.76, 8 Pt 2.86
Pt  0.0000  0.0000  0.7271  4 Cu 2.61, 4 Pt 2.76, 4 Au 2.86
Pt  0.0000  0.0000  0.2729  4 Cu 2.61, 4 Pt 2.76, 4 Au 2.86
Cu  0.5000  0.5000  0.5000  8 Pt 2.61, 4 Cu 2.76

Output
* D(E_F): 4.57 states/eV/f.u.
* excess energy over the best structure of this formula in the dataset: 0.045 eV/atom
* symmetry: No. 123
* volume: 58 Å³/cell

***

Entry 18:
Entry from Alexandria: an optimized crystal structure of CuPt2Au (PBEsol).

Cell lengths 2.7509, 4.6312, 4.6598 Å; angles 90.00, 90.00, 90.00 degrees
With the nearest neighbours (Å) after each atom.
Element x y z (fractional)
Au  0.5000  0.0000  0.5000  4 Cu 2.69, 4 Pt 2.71, 2 Au 2.75
Pt  0.0000  0.0000  0.0000  6 Pt 2.69-2.75, 4 Au 2.71
Pt  0.5000  0.5000  0.0000  6 Pt 2.69-2.75, 4 Cu 2.71
Cu  0.0000  0.5000  0.5000  4 Au 2.69, 4 Pt 2.71, 2 Cu 2.75

Output
* D(E_F): 2.25 states/eV/f.u.
* excess energy over the best structure of this formula in the dataset: 0.043 eV/atom
* symmetry: No. 47
* volume: 59 Å³/cell

***

Entry 19:
Entry from Alexandria: an optimized crystal structure of Cu2PtAu (PBEsol).

Cell lengths 2.7317, 3.7228, 5.4315 Å; angles 90.00, 90.00, 90.00 degrees
With the nearest neighbours (Å) after each atom.
Element x y z (fractional)
Au  0.5000  0.5000  0.7674  6 Cu 2.61-2.82, 2 Au 2.73, 4 Pt 2.80
Pt  0.0000  0.0000  0.4765  5 Cu 2.55-2.62, 2 Pt 2.73, 4 Au 2.80
Cu  0.0000  0.0000  0.0079  1 Pt 2.55, 6 Cu 2.65-2.73, 4 Au 2.65
Cu  0.5000  0.5000  0.2482  2 Au 2.61-2.82, 4 Pt 2.62, 6 Cu 2.65-2.73

Output
* D(E_F): 1.63 states/eV/f.u.
* VASP energy: -19.73 eV for the cell shown
* symmetry: No. 25
* volume: 55 Å³/cell

***

Entry 20:
Entry from Alexandria: an optimized crystal structure of Cu2PtAu (PBEsol).

Cell lengths 2.7854, 2.7854, 7.0494 Å; angles 90.00, 90.00, 90.00 degrees
With the nearest neighbours (Å) after each atom.
Element x y z (fractional)
Au  0.5000  0.5000  0.5000  8 Cu 2.68, 4 Au 2.79
Cu  0.0000  0.0000  0.7576  4 Pt 2.61, 4 Au 2.68, 4 Cu 2.79
Cu  0.0000  0.0000  0.2424  4 Pt 2.61, 4 Au 2.68, 4 Cu 2.79
Pt  0.5000  0.5000  0.0000  8 Cu 2.61, 4 Pt 2.79

Output
* D(E_F): 1.32 states/eV/f.u.
* VASP energy: -20.00 eV for the cell shown
* symmetry: No. 123
* volume: 55 Å³/cell